w:
Below is CaLaZr after structural relaxation, with properties calculated at the PBE level.

The structure in CIF format:
```
data_CaLaZr
_symmetry_space_group_name_H-M 'P 1'
_symmetry_Int_Tables_number 1
_cell_length_a 5.424
_cell_length_b 5.424
_cell_length_c 5.424
_cell_angle_alpha 60.00
_cell_angle_beta 60.00
_cell_angle_gamma 60.00
loop_
_symmetry_equiv_pos_as_xyz
'x,y,z'
loop_
_atom_site_label
_atom_site_type_symbol
_atom_site_fract_x
_atom_site_fract_y
_atom_site_fract_z
_atom_site_occupancy
La1 La 0.500 0.500 0.500 1
Zr1 Zr 0.250 0.250 0.250 1
Ca1 Ca 0.000 0.000 0.000 1
```

## Properties
N(E_F): 6.5 states/eV per cell

x:
Below is CaLaZr after structural relaxation, with properties calculated at the PBE level.

The structure in CIF format:
```
data_CaLaZr
_symmetry_space_group_name_H-M 'P 1'
_symmetry_Int_Tables_number 1
_cell_length_a 3.515
_cell_length_b 3.515
_cell_length_c 18.398
_cell_angle_alpha 84.52
_cell_angle_beta 84.52
_cell_angle_gamma 60.00
loop_
_symmetry_equiv_pos_as_xyz
'x,y,z'
loop_
_atom_site_label
_atom_site_type_symbol
_atom_site_fract_x
_atom_site_fract_y
_atom_site_fract_z
_atom_site_occupancy
Ca1 Ca 0.304 0.304 0.088 1
Ca2 Ca 0.696 0.696 0.912 1
Zr1 Zr 0.145 0.145 0.566 1
Zr2 Zr 0.855 0.855 0.434 1
La1 La 0.761 0.761 0.716 1
La2 La 0.239 0.239 0.284 1
```

## Properties
N(E_F): 7.6 states/eV per cell

Stability order, top to bottom: x, w

w:
Below is CaLaZr after structural relaxation, with properties calculated at the PBE level.

The structure in CIF format:
```
data_CaLaZr
_symmetry_space_group_name_H-M 'P 1'
_symmetry_Int_Tables_number 1
_cell_length_a 3.529
_cell_length_b 3.529
_cell_length_c 8.897
_cell_angle_alpha 90.00
_cell_angle_beta 90.00
_cell_angle_gamma 120.00
loop_
_symmetry_equiv_pos_as_xyz
'x,y,z'
loop_
_atom_site_label
_atom_site_type_symbol
_atom_site_fract_x
_atom_site_fract_y
_atom_site_fract_z
_atom_site_occupancy
La1 La 0.667 0.333 0.362 1
Zr1 Zr 0.333 0.667 0.660 1
Ca1 Ca 0.000 0.000 0.978 1
```

## Properties
N(E_F): 4.7 states/eV per cell

x:
Below is CaLaZr after structural relaxation, with properties calculated at the PBE level.

The structure in CIF format:
```
data_CaLaZr
_symmetry_space_group_name_H-M 'P 1'
_symmetry_Int_Tables_number 1
_cell_length_a 6.356
_cell_length_b 6.356
_cell_length_c 6.356
_cell_angle_alpha 148.33
_cell_angle_beta 134.94
_cell_angle_gamma 56.12
loop_
_symmetry_equiv_pos_as_xyz
'x,y,z'
loop_
_atom_site_label
_atom_site_type_symbol
_atom_site_fract_x
_atom_site_fract_y
_atom_site_fract_z
_atom_site_occupancy
La1 La 0.312 0.312 0.000 1
Ca1 Ca 0.006 0.006 0.000 1
Zr1 Zr 0.682 0.682 0.000 1
```

## Properties
N(E_F): 3.8 states/eV per cell

Stability order, top to bottom: w, x

w:
Below is Li6Ca after structural relaxation, with properties calculated at the PBE level.

The structure in CIF format:
```
data_Li6Ca
_symmetry_space_group_name_H-M 'P 1'
_symmetry_Int_Tables_number 1
_cell_length_a 6.023
_cell_length_b 6.023
_cell_length_c 6.023
_cell_angle_alpha 90.00
_cell_angle_beta 90.00
_cell_angle_gamma 90.00
loop_
_symmetry_equiv_pos_as_xyz
'x,y,z'
loop_
_atom_site_label
_atom_site_type_symbol
_atom_site_fract_x
_atom_site_fract_y
_atom_site_fract_z
_atom_site_occupancy
Li1 Li 0.808 0.500 0.500 1
Li2 Li 0.500 0.500 0.808 1
Li3 Li 0.500 0.192 0.500 1
Li4 Li 0.500 0.808 0.500 1
Li5 Li 0.192 0.500 0.500 1
Li6 Li 0.500 0.500 0.192 1
Ca1 Ca 0.000 0.000 0.000 1
```

## Properties
N(E_F): 3.2 states/eV per cell

x:
Below is Li6Ca after structural relaxation, with properties calculated at the PBE level.

The structure in CIF format:
```
data_Li6Ca
_symmetry_space_group_name_H-M 'P 1'
_symmetry_Int_Tables_number 1
_cell_length_a 5.928
_cell_length_b 9.564
_cell_length_c 11.603
_cell_angle_alpha 90.00
_cell_angle_beta 90.00
_cell_angle_gamma 90.00
loop_
_symmetry_equiv_pos_as_xyz
'x,y,z'
loop_
_atom_site_label
_atom_site_type_symbol
_atom_site_fract_x
_atom_site_fract_y
_atom_site_fract_z
_atom_site_occupancy
Li1 Li 0.750 0.597 0.020 1
Li2 Li 0.250 0.143 0.148 1
Li3 Li 0.507 0.567 0.806 1
Li4 Li 0.493 0.933 0.306 1
Li5 Li 0.750 0.097 0.480 1
Li6 Li 0.250 0.643 0.352 1
Li7 Li 0.250 0.560 0.584 1
Li8 Li 0.250 0.060 0.916 1
Li9 Li 0.007 0.433 0.194 1
Li10 Li 0.250 0.903 0.520 1
Li11 Li 0.493 0.433 0.194 1
Li12 Li 0.993 0.067 0.694 1
Li13 Li 0.507 0.067 0.694 1
Li14 Li 0.750 0.186 0.239 1
Li15 Li 0.750 0.440 0.416 1
Li16 Li 0.007 0.933 0.306 1
Li17 Li 0.750 0.857 0.852 1
Li18 Li 0.250 0.403 0.980 1
Li19 Li 0.993 0.567 0.806 1
Li20 Li 0.750 0.940 0.084 1
Li21 Li 0.250 0.314 0.739 1
Li22 Li 0.750 0.686 0.261 1
Li23 Li 0.750 0.357 0.648 1
Li24 Li 0.250 0.814 0.761 1
Ca1 Ca 0.750 0.247 0.936 1
Ca2 Ca 0.250 0.253 0.436 1
Ca3 Ca 0.750 0.747 0.564 1
Ca4 Ca 0.250 0.753 0.064 1
```

## Properties
N(E_F): 18.7 states/eV per cell

y:
Below is Li6Ca after structural relaxation, with properties calculated at the PBE level.

The structure in CIF format:
```
data_Li6Ca
_symmetry_space_group_name_H-M 'P 1'
_symmetry_Int_Tables_number 1
_cell_length_a 6.175
_cell_length_b 6.175
_cell_length_c 6.175
_cell_angle_alpha 109.47
_cell_angle_beta 109.47
_cell_angle_gamma 109.47
loop_
_symmetry_equiv_pos_as_xyz
'x,y,z'
loop_
_atom_site_label
_atom_site_type_symbol
_atom_site_fract_x
_atom_site_fract_y
_atom_site_fract_z
_atom_site_occupancy
Li1 Li 0.250 0.750 0.500 1
Li2 Li 0.500 0.750 0.250 1
Li3 Li 0.750 0.250 0.500 1
Li4 Li 0.750 0.500 0.250 1
Li5 Li 0.250 0.500 0.750 1
Li6 Li 0.500 0.250 0.750 1
Ca1 Ca 0.000 0.000 0.000 1
```

## Properties
N(E_F): 5.0 states/eV per cell

Stability order, top to bottom: x, y, w

w:
Below is LiCa2 after structural relaxation, with properties calculated at the PBE level.

The structure in CIF format:
```
data_LiCa2
_symmetry_space_group_name_H-M 'P 1'
_symmetry_Int_Tables_number 1
_cell_length_a 3.819
_cell_length_b 7.894
_cell_length_c 7.894
_cell_angle_alpha 90.00
_cell_angle_beta 90.00
_cell_angle_gamma 90.00
loop_
_symmetry_equiv_pos_as_xyz
'x,y,z'
loop_
_atom_site_label
_atom_site_type_symbol
_atom_site_fract_x
_atom_site_fract_y
_atom_site_fract_z
_atom_site_occupancy
Ca1 Ca 0.500 0.272 0.728 1
Ca2 Ca 0.000 0.228 0.228 1
Ca3 Ca 0.000 0.772 0.772 1
Ca4 Ca 0.500 0.728 0.272 1
Li1 Li 0.000 0.500 0.500 1
Li2 Li 0.500 0.000 0.000 1
```

## Properties
N(E_F): 6.8 states/eV per cell

x:
Below is LiCa2 after structural relaxation, with properties calculated at the PBE level.

The structure in CIF format:
```
data_LiCa2
_symmetry_space_group_name_H-M 'P 1'
_symmetry_Int_Tables_number 1
_cell_length_a 5.993
_cell_length_b 5.993
_cell_length_c 3.541
_cell_angle_alpha 90.00
_cell_angle_beta 90.00
_cell_angle_gamma 120.00
loop_
_symmetry_equiv_pos_as_xyz
'x,y,z'
loop_
_atom_site_label
_atom_site_type_symbol
_atom_site_fract_x
_atom_site_fract_y
_atom_site_fract_z
_atom_site_occupancy
Ca1 Ca 0.333 0.667 0.000 1
Ca2 Ca 0.667 0.333 0.000 1
Li1 Li 0.000 0.000 0.500 1
```

## Properties
N(E_F): 3.4 states/eV per cell

y:
Below is LiCa2 after structural relaxation, with properties calculated at the PBE level.

The structure in CIF format:
```
data_LiCa2
_symmetry_space_group_name_H-M 'P 1'
_symmetry_Int_Tables_number 1
_cell_length_a 7.127
_cell_length_b 7.127
_cell_length_c 7.127
_cell_angle_alpha 60.00
_cell_angle_beta 60.00
_cell_angle_gamma 60.00
loop_
_symmetry_equiv_pos_as_xyz
'x,y,z'
loop_
_atom_site_label
_atom_site_type_symbol
_atom_site_fract_x
_atom_site_fract_y
_atom_site_fract_z
_atom_site_occupancy
Ca1 Ca 0.625 0.625 0.625 1
Ca2 Ca 0.625 0.125 0.625 1
Ca3 Ca 0.625 0.625 0.125 1
Ca4 Ca 0.125 0.625 0.625 1
Li1 Li 0.000 0.000 0.000 1
Li2 Li 0.250 0.250 0.250 1
```

## Properties
N(E_F): 6.1 states/eV per cell

z:
Below is LiCa2 after structural relaxation, with properties calculated at the PBE level.

The structure in CIF format:
```
data_LiCa2
_symmetry_space_group_name_H-M 'P 1'
_symmetry_Int_Tables_number 1
_cell_length_a 6.561
_cell_length_b 6.561
_cell_length_c 6.561
_cell_angle_alpha 104.31
_cell_angle_beta 104.31
_cell_angle_gamma 120.37
loop_
_symmetry_equiv_pos_as_xyz
'x,y,z'
loop_
_atom_site_label
_atom_site_type_symbol
_atom_site_fract_x
_atom_site_fract_y
_atom_site_fract_z
_atom_site_occupancy
Li1 Li 0.250 0.250 0.000 1
Li2 Li 0.750 0.750 0.000 1
Ca1 Ca 0.837 0.337 0.174 1
Ca2 Ca 0.337 0.163 0.500 1
Ca3 Ca 0.663 0.837 0.500 1
Ca4 Ca 0.163 0.663 0.826 1
```

## Properties
N(E_F): 5.8 states/eV per cell

Stability order, top to bottom: z, x, w, y